! Tb2CrPO8, relaxed, DFT PBE+U; values from VASP
! - Raw total energy: -7.235 eV per atom
! - Symmetry: P-3m1
! - Magnetization: 0.420 μB/atom
! - Theoretical density: 5.42 g/cm³
&SYSTEM
  ibrav = 0, nat = 12, ntyp = 4
/
ATOMIC_SPECIES
O 16.00 O.upf
Tb 158.93 Tb.upf
Cr 52.00 Cr.upf
P 30.97 P.upf
ATOMIC_POSITIONS crystal
O 0.1282 0.8718 0.2095
O 0.8718 0.7436 0.7905
O 0.1282 0.2564 0.2095
O 0.3333 0.6667 0.7113
O 0.6667 0.3333 0.2887
O 0.2564 0.1282 0.7905
O 0.8718 0.1282 0.7905
O 0.7436 0.8718 0.2095
Tb 0.3333 0.6667 0.2248
Tb 0.6667 0.3333 0.7752
Cr 0.0000 0.0000 0.5000
P 0.0000 0.0000 0.0000
CELL_PARAMETERS angstrom
-5.7139 -2.1779 -0.8965
4.8441 -3.8283 -0.2715
-0.4207 -0.8729 4.8020